No. 1
## Cd2OsW (PBE)

Data for a geometry-optimized Cd2OsW structure.

CIF file:
```
data_Cd2OsW
_cell_length_a 3.102
_cell_length_b 4.571
_cell_length_c 9.845
_cell_angle_alpha 90.00
_cell_angle_beta 90.00
_cell_angle_gamma 90.00
_symmetry_space_group_name_H-M 'I m m m'
_symmetry_Int_Tables_number 71
_symmetry_space_group_name_Hall '-I 2 2'
loop_
_atom_site_label
_atom_site_fract_x
_atom_site_fract_y
_atom_site_fract_z
_atom_site_occupancy
Cd1 0.000 0.000 0.243 1
Os1 0.000 0.500 0.500 1
W1 0.000 0.500 0.000 1
```

Output
As for the total energy: -23.40 eV per formula unit. For the total magnetic moment, the calculation gives 0.000 μB per formula unit. For the volume, the calculation gives 140 Å³/cell. The value obtained for the formation enthalpy at 0 K is 654 meV per atom.

No. 2
## Cd2OsW (PBE)

Data for a geometry-optimized Cd2OsW structure.

CIF file:
```
data_Cd2OsW
_cell_length_a 3.880
_cell_length_b 3.880
_cell_length_c 4.658
_cell_angle_alpha 90.00
_cell_angle_beta 90.00
_cell_angle_gamma 90.00
_symmetry_space_group_name_H-M 'P 4/m m m'
_symmetry_Int_Tables_number 123
_symmetry_space_group_name_Hall '-P 4 2'
loop_
_atom_site_label
_atom_site_fract_x
_atom_site_fract_y
_atom_site_fract_z
_atom_site_occupancy
Cd1 0.000 0.500 0.000 1
Os1 0.000 0.000 0.500 1
W1 0.500 0.500 0.500 1
```

Output
As for the total energy: -23.07 eV per formula unit. For the total magnetic moment, the calculation gives 0.000 μB per formula unit. For the volume, the calculation gives 70 Å³/cell. The value obtained for the formation enthalpy at 0 K is 735 meV per atom.

formation enthalpy at 0 K of number 1 (Cd2OsW)?
654 meV per atom

Which formula does entry 1 have?
Cd2OsW

Which formula does entry 2 have?
Cd2OsW